#w
A geometry-optimized Ta2NiAg structure. Source: the Alexandria database, functional PBE.

Cell lengths 3.9502, 3.9502, 4.1148 Å; angles 90.00, 90.00, 90.00 degrees
Closest atoms and distances in Å follow each position.
Space group P4/mmm (No. 123)
Unique sites:
Ta1 0.0000 0.5000 0.0000 (multiplicity 2)  4 Ta 2.79, 4 Ni 2.85, 4 Ag 2.85
Ni1 0.0000 0.0000 0.5000 (multiplicity 1)  4 Ag 2.79, 8 Ta 2.85
Ag1 0.5000 0.5000 0.5000 (multiplicity 1)  4 Ni 2.79, 8 Ta 2.85

---

#x
A geometry-optimized Ta2NiAg structure. Source: the Alexandria database, functional PBE.

Cell lengths 3.1051, 3.3837, 6.2139 Å; angles 90.00, 90.00, 90.00 degrees
Closest atoms and distances in Å follow each position.
Space group Pmm2 (No. 25)
Unique sites:
Ta1 0.0000 0.0000 0.0000 (multiplicity 1)  4 Ni 2.62, 1 Ag 2.80, 4 Ta 2.87
Ta2 0.5000 0.5000 0.2779 (multiplicity 1)  4 Ag 2.85, 6 Ta 2.87-3.11, 1 Ni 2.99
Ni1 0.5000 0.5000 0.7961 (multiplicity 1)  4 Ta 2.62, 4 Ag 2.76
Ag1 0.0000 0.0000 0.5493 (multiplicity 1)  4 Ni 2.76, 5 Ta 2.80-2.85

---

#y
A geometry-optimized Ta2NiAg structure. Source: the Alexandria database, functional PBE.

Cell lengths 3.9450, 3.9450, 8.3633 Å; angles 90.00, 90.00, 90.00 degrees
Closest atoms and distances in Å follow each position.
Space group I-4m2 (No. 119)
Unique sites:
Ta1 0.0000 0.0000 0.0000 (multiplicity 2)  4 Ni 2.79, 4 Ta 2.87, 4 Ag 2.87
Ta2 0.0000 0.5000 0.2500 (multiplicity 2)  4 Ag 2.79, 4 Ta 2.87, 4 Ni 2.87
Ni1 0.0000 0.0000 0.5000 (multiplicity 2)  8 Ta 2.79-2.87, 4 Ag 2.87
Ag1 0.0000 0.5000 0.7500 (multiplicity 2)  8 Ta 2.79-2.87, 4 Ni 2.87

---

The data favor #x; the next most stable structure lies 9.7 kJ/mol of atoms above it.

---

#w
A geometry-optimized TaNiAg structure. Source: the Alexandria database, functional PBE.

Cell lengths 2.8236, 2.8236, 11.6834 Å; angles 90.00, 90.00, 90.00 degrees
Closest atoms and distances in Å follow each position.
Space group I4mm (No. 107)
Unique sites:
Ta1 0.0000 0.0000 0.0000 (multiplicity 2)  4 Ni 2.63, 4 Ta 2.82
Ni1 0.0000 0.0000 0.6469 (multiplicity 2)  4 Ta 2.63, 4 Ag 2.75, 4 Ni 2.82
Ag1 0.0000 0.0000 0.3083 (multiplicity 2)  4 Ni 2.75, 4 Ag 2.82, 4 Ta 3.00

---

#x
A geometry-optimized TaNiAg structure. Source: the Alexandria database, functional PBE.

Cell lengths 6.0799, 6.0799, 6.0799 Å; angles 90.00, 90.00, 90.00 degrees
Closest atoms and distances in Å follow each position.
Space group F-43m (No. 216)
Unique sites:
Ta1 0.0000 0.0000 0.0000 (multiplicity 4)  4 Ni 2.63, 4 Ag 2.63
Ni1 0.2500 0.2500 0.7500 (multiplicity 4)  4 Ta 2.63
Ag1 0.2500 0.2500 0.2500 (multiplicity 4)  4 Ta 2.63

---

#y
A geometry-optimized TaNiAg structure. Source: the Alexandria database, functional PBE.

Cell lengths 3.2354, 3.2354, 8.8651 Å; angles 90.00, 90.00, 90.00 degrees
Closest atoms and distances in Å follow each position.
Space group I4mm (No. 107)
Unique sites:
Ta1 0.0000 0.0000 0.0000 (multiplicity 2)  4 Ni 2.62, 5 Ag 2.75-2.84
Ni1 0.0000 0.0000 0.3553 (multiplicity 2)  4 Ta 2.62, 4 Ag 2.72
Ag1 0.0000 0.0000 0.6903 (multiplicity 2)  5 Ni 2.72-2.97, 5 Ta 2.75-2.84

---

#z
A geometry-optimized TaNiAg structure. Source: the Alexandria database, functional PBE.

Cell lengths 5.9211, 5.9211, 5.9211 Å; angles 90.00, 90.00, 90.00 degrees
Closest atoms and distances in Å follow each position.
Space group F-43m (No. 216)
Unique sites:
Ta1 0.0000 0.0000 0.0000 (multiplicity 4)  4 Ni 2.56
Ni1 0.2500 0.2500 0.7500 (multiplicity 4)  4 Ta 2.56, 4 Ag 2.56
Ag1 0.0000 0.0000 0.5000 (multiplicity 4)  4 Ni 2.56

---

The data favor #w; the next most stable structure lies 3.3 kJ/mol of atoms above it.

---

#w
A geometry-optimized Ta2Ni2Ag structure. Source: the Alexandria database, functional PBE.

Cell lengths 7.6669, 7.6669, 2.6950 Å; angles 90.00, 90.00, 90.00 degrees
Closest atoms and distances in Å follow each position.
Space group P4/mbm (No. 127)
Unique sites:
Ta1 0.1290 0.3710 0.0000 (multiplicity 4)  6 Ni 2.60-2.65, 3 Ta 2.69-2.80
Ni1 0.1662 0.6662 0.5000 (multiplicity 4)  6 Ta 2.60-2.65, 2 Ni 2.69
Ag1 0.0000 0.0000 0.0000 (multiplicity 2)  2 Ag 2.69, 4 Ta 3.01

---

#x
A geometry-optimized Ta2Ni2Ag structure. Source: the Alexandria database, functional PBE.

Cell lengths 7.1591, 7.1591, 2.9578 Å; angles 90.00, 90.00, 90.00 degrees
Closest atoms and distances in Å follow each position.
Space group P4/mbm (No. 127)
Unique sites:
Ta1 0.1708 0.3292 0.0000 (multiplicity 4)  6 Ni 2.55-2.60
Ni1 0.1238 0.6238 0.5000 (multiplicity 4)  1 Ni 2.51, 6 Ta 2.55-2.60
Ag1 0.0000 0.0000 0.5000 (multiplicity 2)  4 Ni 2.84, 2 Ag 2.96, 8 Ta 3.04

---

The data favor #x; the next most stable structure lies 17.6 kJ/mol of atoms above it.

---

#w
A geometry-optimized Tb4NiAg structure. Source: the Alexandria database, functional PBE.

Cell lengths 6.8957, 7.0854, 6.9404 Å; angles 90.00, 95.81, 90.00 degrees
Closest atoms and distances in Å follow each position.
Space group P2_1/c (No. 14)
Unique sites:
Tb1 0.1537 0.1690 0.1918 (multiplicity 4)  2 Ni 2.76-2.85
Tb2 0.3241 0.6529 0.1217 (multiplicity 4)  1 Ni 2.55
Ni1 0.0000 0.0000 0.5000 (multiplicity 2)  6 Tb 2.55-2.85
Ag1 0.5000 0.0000 0.0000 (multiplicity 2)  6 Tb 2.91-3.09

---

#x
A geometry-optimized Tb4NiAg structure. Source: the Alexandria database, functional PBE.

Cell lengths 13.4170, 13.4170, 13.4170 Å; angles 90.00, 90.00, 90.00 degrees
Closest atoms and distances in Å follow each position.
Space group F-43m (No. 216)
Unique sites:
Tb1 0.0000 0.0000 0.1860 (multiplicity 24)  2 Ag 3.20, 2 Ni 3.44, 10 Tb 3.44-3.56
Tb2 0.0608 0.2500 0.2500 (multiplicity 24)  2 Ni 2.79
Tb3 0.1006 0.1006 0.6006 (multiplicity 16)  3 Ni 2.79
Ni1 0.1068 0.1068 0.3932 (multiplicity 16)  6 Tb 2.79
Ag1 0.1681 0.1681 0.8319 (multiplicity 16)  3 Ag 3.11, 9 Tb 3.20-3.44

---

The data favor #x; the next most stable structure lies 17.2 kJ/mol of atoms above it.

---

#w
A geometry-optimized Tb2Ni2Ag structure. Source: the Alexandria database, functional PBE.

Cell lengths 3.9447, 13.8907, 3.6396 Å; angles 90.00, 90.00, 90.00 degrees
Closest atoms and distances in Å follow each position.
Space group Cmmm (No. 65)
Unique sites:
Tb1 0.0000 0.1348 0.0000 (multiplicity 4)  6 Ni 2.83-2.94
Ni1 0.0000 0.3009 0.5000 (multiplicity 4)  2 Ni 2.43
Ag1 0.0000 0.5000 0.5000 (multiplicity 2)  2 Ni 2.77

---

#x
A geometry-optimized Tb2Ni2Ag structure. Source: the Alexandria database, functional PBE.

Cell lengths 7.3364, 7.3364, 3.6445 Å; angles 90.00, 90.00, 90.00 degrees
Closest atoms and distances in Å follow each position.
Space group P4/mbm (No. 127)
Unique sites:
Tb1 0.1760 0.3240 0.0000 (multiplicity 4)  6 Ni 2.80-2.86
Ni1 0.1191 0.6191 0.5000 (multiplicity 4)  1 Ni 2.47
Ag1 0.0000 0.0000 0.5000 (multiplicity 2)  4 Ni 2.93, 8 Tb 3.26

---

The data favor #w; the next most stable structure lies 1.1 kJ/mol of atoms above it.

---

#w
A geometry-optimized Tb6NiAg2 structure. Source: the Alexandria database, functional PBE.

Cell lengths 6.7497, 7.2973, 11.7894 Å; angles 90.00, 121.00, 90.00 degrees
Closest atoms and distances in Å follow each position.
Space group P2_1/c (No. 14)
Unique sites:
Tb1 0.1176 0.0137 0.2503 (multiplicity 4)  1 Ni 2.74, 2 Ag 3.02-3.05
Tb2 0.2150 0.6859 0.0565 (multiplicity 4)  1 Ni 2.70, 1 Ag 3.00
Tb3 0.3653 0.1849 0.0500 (multiplicity 4)  1 Ni 2.65
Ni1 0.5000 0.0000 0.5000 (multiplicity 2)  6 Tb 2.65-2.74
Ag1 0.3165 0.1086 0.7568 (multiplicity 4)  7 Tb 3.00-3.35

---

#x
A geometry-optimized Tb6NiAg2 structure. Source: the Alexandria database, functional PBE.

Cell lengths 9.6453, 9.6916, 10.1288 Å; angles 90.00, 90.00, 90.00 degrees
Closest atoms and distances in Å follow each position.
Space group Immm (No. 71)
Unique sites:
Tb1 0.0000 0.1705 0.2471 (multiplicity 8)  1 Ni 3.05, 3 Ag 3.11-3.28, 1 Tb 3.30
Tb2 0.1705 0.5000 0.2750 (multiplicity 8)  3 Ag 2.93-3.15, 1 Ni 3.23
Tb3 0.2364 0.3157 0.0000 (multiplicity 8)  2 Ni 2.90-3.11, 2 Ag 3.02-3.20
Ni1 0.0000 0.0000 0.5000 (multiplicity 2)  8 Tb 3.05-3.11
Ni2 0.0000 0.5000 0.0000 (multiplicity 2)  8 Tb 2.90-3.23
Ag1 0.0000 0.3526 0.5000 (multiplicity 4)  1 Ag 2.86, 8 Tb 3.02-3.15
Ag2 0.1384 0.0000 0.0000 (multiplicity 4)  1 Ag 2.67, 2 Tb 2.93

---

The data favor #w; the next most stable structure lies 0.8 kJ/mol of atoms above it.

---

#w
A geometry-optimized TcNiAg2 structure. Source: the Alexandria database, functional PBE.

Cell lengths 6.3351, 6.3351, 6.3351 Å; angles 90.00, 90.00, 90.00 degrees
Closest atoms and distances in Å follow each position.
Space group Fm-3m (No. 225)
Unique sites:
Tc1 0.0000 0.0000 0.0000 (multiplicity 4)  8 Ag 2.74
Ni1 0.0000 0.0000 0.5000 (multiplicity 4)  8 Ag 2.74
Ag1 0.2500 0.2500 0.2500 (multiplicity 8)  4 Tc 2.74, 4 Ni 2.74

---

#x
A geometry-optimized TcNiAg2 structure. Source: the Alexandria database, functional PBE.

Cell lengths 2.6717, 2.6717, 8.5031 Å; angles 90.00, 90.00, 90.00 degrees
Closest atoms and distances in Å follow each position.
Space group P4/mmm (No. 123)
Unique sites:
Tc1 0.0000 0.0000 0.0000 (multiplicity 1)  4 Tc 2.67, 8 Ag 2.95
Ni1 0.0000 0.0000 0.5000 (multiplicity 1)  4 Ni 2.67, 8 Ag 2.74
Ag1 0.5000 0.5000 0.2664 (multiplicity 2)  4 Ag 2.67, 4 Ni 2.74, 4 Tc 2.95

---

#y
A geometry-optimized TcNiAg2 structure. Source: the Alexandria database, functional PBE.

Cell lengths 2.7150, 3.5852, 6.4212 Å; angles 90.00, 90.00, 90.00 degrees
Closest atoms and distances in Å follow each position.
Space group Pmm2 (No. 25)
Unique sites:
Tc1 0.0000 0.0000 0.0000 (multiplicity 1)  4 Ni 2.49, 2 Tc 2.72
Ni1 0.5000 0.5000 0.8320 (multiplicity 1)  4 Tc 2.49, 2 Ni 2.72
Ag1 0.0000 0.0000 0.5627 (multiplicity 1)  6 Ag 2.72-2.89, 1 Tc 2.81, 4 Ni 2.84
Ag2 0.5000 0.5000 0.2808 (multiplicity 1)  6 Ag 2.72-2.89, 1 Ni 2.88, 4 Tc 2.88

---

#z
A geometry-optimized TcNiAg2 structure. Source: the Alexandria database, functional PBE.

Cell lengths 8.9984, 2.6770, 5.1530 Å; angles 90.00, 98.24, 90.00 degrees
Closest atoms and distances in Å follow each position.
Space group Cm (No. 8)
Unique sites:
Tc1 0.0000 0.0000 0.0000 (multiplicity 2)  3 Ni 2.58-2.63, 2 Tc 2.68, 5 Ag 2.78-2.89
Ni1 0.2390 0.5000 0.1754 (multiplicity 2)  3 Tc 2.58-2.63, 2 Ni 2.68, 4 Ag 2.74-2.84
Ag1 0.2433 0.0000 0.7129 (multiplicity 2)  5 Ag 2.67-2.81, 2 Ni 2.74, 3 Tc 2.81-2.89
Ag2 0.4862 0.0000 0.4694 (multiplicity 2)  5 Ag 2.67-2.81, 2 Tc 2.78, 3 Ni 2.84-2.91

---

The data favor #y; the next most stable structure lies 9.3 kJ/mol of atoms above it.

---

#w
A geometry-optimized TcNiAg2 structure. Source: the Alexandria database, functional PBE.

Cell lengths 9.5836, 2.6868, 4.8121 Å; angles 90.00, 99.65, 90.00 degrees
Closest atoms and distances in Å follow each position.
Space group C2/m (No. 12)
Unique sites:
Tc1 0.0000 0.0000 0.0000 (multiplicity 2)  2 Tc 2.69, 4 Ni 2.76, 6 Ag 2.83-2.87
Ni1 0.0000 0.5000 0.5000 (multiplicity 2)  2 Ni 2.69, 4 Tc 2.76, 6 Ag 2.80-2.88
Ag1 0.2457 0.0000 0.7459 (multiplicity 4)  6 Ag 2.69-2.78, 3 Ni 2.80-2.88, 3 Tc 2.83-2.87

---

#x
A geometry-optimized TcNiAg2 structure. Source: the Alexandria database, functional PBE.

Cell lengths 2.7833, 2.7833, 27.5427 Å; angles 90.00, 90.00, 120.00 degrees
Closest atoms and distances in Å follow each position.
Space group R3m (No. 160, hexagonal axes)
Unique sites:
Tc1 0.0000 0.0000 0.0000 (multiplicity 3)  3 Ni 2.52, 6 Tc 2.78
Ni1 0.0000 0.0000 0.7373 (multiplicity 3)  3 Tc 2.52, 3 Ag 2.77, 6 Ni 2.78
Ag1 0.0000 0.0000 0.2440 (multiplicity 3)  9 Ag 2.78-2.99, 3 Tc 2.94
Ag2 0.0000 0.0000 0.4857 (multiplicity 3)  3 Ni 2.77, 9 Ag 2.78-2.99

---

#y
A geometry-optimized TcNiAg2 structure. Source: the Alexandria database, functional PBE.

Cell lengths 2.7381, 2.7381, 8.1236 Å; angles 90.00, 90.00, 90.00 degrees
Closest atoms and distances in Å follow each position.
Space group P4mm (No. 99)
Unique sites:
Tc1 0.0000 0.0000 0.0000 (multiplicity 1)  4 Ni 2.52, 4 Tc 2.74
Ni1 0.5000 0.5000 0.8014 (multiplicity 1)  4 Tc 2.52, 4 Ni 2.74, 4 Ag 2.78
Ag1 0.0000 0.0000 0.5554 (multiplicity 1)  8 Ag 2.74-2.99, 4 Ni 2.78
Ag2 0.5000 0.5000 0.2745 (multiplicity 1)  8 Ag 2.74-2.99, 4 Tc 2.95

---

The data favor #y; the next most stable structure lies 7.3 kJ/mol of atoms above it.

---

#w
A geometry-optimized TcNiAg structure. Source: the Alexandria database, functional PBE.

Cell lengths 5.7677, 5.7677, 5.7677 Å; angles 90.00, 90.00, 90.00 degrees
Closest atoms and distances in Å follow each position.
Space group F-43m (No. 216)
Unique sites:
Tc1 0.0000 0.0000 0.0000 (multiplicity 4)  4 Ni 2.50
Ni1 0.2500 0.2500 0.7500 (multiplicity 4)  4 Tc 2.50, 4 Ag 2.50
Ag1 0.0000 0.0000 0.5000 (multiplicity 4)  4 Ni 2.50

---

#x
A geometry-optimized TcNiAg structure. Source: the Alexandria database, functional PBE.

Cell lengths 4.3798, 4.3798, 2.5855 Å; angles 90.00, 90.00, 120.00 degrees
Closest atoms and distances in Å follow each position.
Space group P3m1 (No. 156)
Unique sites:
Tc1 0.0000 0.0000 0.0000 (multiplicity 1)  2 Tc 2.59, 6 Ni 2.83-2.85, 6 Ag 2.84
Ni1 0.3333 0.6667 0.5064 (multiplicity 1)  3 Ag 2.53, 2 Ni 2.59
Ag1 0.6667 0.3333 0.4968 (multiplicity 1)  3 Ni 2.53, 2 Ag 2.59

---

The data favor #x; the next most stable structure lies 26.3 kJ/mol of atoms above it.

---

#w
A geometry-optimized TcNiAg structure. Source: the Alexandria database, functional PBE.

Cell lengths 2.6970, 2.6970, 11.8844 Å; angles 90.00, 90.00, 90.00 degrees
Closest atoms and distances in Å follow each position.
Space group I4mm (No. 107)
Unique sites:
Tc1 0.0000 0.0000 0.0000 (multiplicity 2)  4 Ni 2.52, 4 Tc 2.70
Ni1 0.0000 0.0000 0.6387 (multiplicity 2)  4 Tc 2.52, 4 Ni 2.70, 4 Ag 2.79
Ag1 0.0000 0.0000 0.3101 (multiplicity 2)  4 Ag 2.70, 4 Ni 2.79, 4 Tc 2.95

---

#x
A geometry-optimized TcNiAg structure. Source: the Alexandria database, functional PBE.

Cell lengths 2.7250, 2.7250, 6.7720 Å; angles 90.00, 90.00, 120.00 degrees
Closest atoms and distances in Å follow each position.
Space group P3m1 (No. 156)
Unique sites:
Tc1 0.0000 0.0000 0.0000 (multiplicity 1)  3 Ni 2.53, 6 Tc 2.72
Ni1 0.3333 0.6667 0.7081 (multiplicity 1)  3 Tc 2.53, 6 Ni 2.72, 3 Ag 2.77
Ag1 0.6667 0.3333 0.3706 (multiplicity 1)  6 Ag 2.72, 3 Ni 2.77, 3 Tc 2.96

---

The data favor #w; the next most stable structure lies 3.3 kJ/mol of atoms above it.